(1)
The following is a DFT calculation (PBE) of PmDyScCu after structural relaxation.

The value obtained for the formation energy is 0.132 eV per atom. Its total energy is -77.007 eV/cell.

It has space group F-43m (No. 216), with a = 7.359 Å, b = 7.359 Å, c = 7.359 Å, α = 90.00°, β = 90.00° and γ = 90.00°. Symmetry generates all atoms from Pm at (0.000, 0.000, 0.000), Dy at (0.000, 0.000, 0.500), Sc at (0.250, 0.250, 0.750) and Cu at (0.250, 0.250, 0.250).



(2)
The following is a DFT calculation (PBE) of La2SmTmHg2 after structural relaxation.

The value obtained for the formation energy is -0.338 eV per atom. Its total energy is -43.356 eV/cell.

It has space group Pmc2_1 (No. 26), with a = 5.161 Å, b = 9.632 Å, c = 7.299 Å, α = 90.00°, β = 90.00° and γ = 90.00°. Symmetry generates all atoms from La at (0.000, 0.058, 0.000), La at (0.500, 0.171, 0.314), Sm at (0.500, 0.444, 0.971), Tm at (0.000, 0.327, 0.652), Hg at (0.000, 0.368, 0.232) and Hg at (0.500, 0.163, 0.747).